#i
ZrRhF2: optimized geometry, PBE.

Volume   13.19 Å³/atom

a b c (Å): 5.953 5.953 5.953
angles (deg): 90.00 90.00 90.00
Fractional positions:
1 Zr 0.000 0.000 0.000
2 Zr 0.000 0.500 0.500
3 Zr 0.500 0.000 0.500
4 Zr 0.500 0.500 0.000
5 Rh 0.000 0.000 0.500
6 Rh 0.000 0.500 0.000
7 Rh 0.500 0.000 0.000
8 Rh 0.500 0.500 0.500
9 F 0.250 0.250 0.250
10 F 0.250 0.250 0.750
11 F 0.250 0.750 0.250
12 F 0.250 0.750 0.750
13 F 0.750 0.250 0.250
14 F 0.750 0.250 0.750
15 F 0.750 0.750 0.250
16 F 0.750 0.750 0.750

#ii
ZrRhF2: optimized geometry, PBE.

Volume   17.74 Å³/atom

a b c (Å): 3.016 3.016 27.029
angles (deg): 90.00 90.00 120.00
Fractional positions:
1 Zr 0.000 0.000 0.000
2 Zr 0.333 0.667 0.667
3 Zr 0.667 0.333 0.333
4 Rh 0.000 0.000 0.500
5 Rh 0.333 0.667 0.167
6 Rh 0.667 0.333 0.833
7 F 0.000 0.000 0.073
8 F 0.000 0.000 0.927
9 F 0.333 0.667 0.593
10 F 0.333 0.667 0.740
11 F 0.667 0.333 0.260
12 F 0.667 0.333 0.407

#iii
ZrRhF2: optimized geometry, PBE.

Volume   13.32 Å³/atom

a b c (Å): 2.850 2.850 22.720
angles (deg): 90.00 90.00 120.00
Fractional positions:
1 Zr 0.000 0.000 0.000
2 Zr 0.333 0.667 0.667
3 Zr 0.667 0.333 0.333
4 Rh 0.000 0.000 0.500
5 Rh 0.333 0.667 0.167
6 Rh 0.667 0.333 0.833
7 F 0.000 0.000 0.404
8 F 0.000 0.000 0.596
9 F 0.333 0.667 0.070
10 F 0.333 0.667 0.263
11 F 0.667 0.333 0.737
12 F 0.667 0.333 0.930

#iv
ZrRhF2: optimized geometry, PBE.

Volume   13.56 Å³/atom

a b c (Å): 3.773 3.773 15.244
angles (deg): 90.00 90.00 90.00
Fractional positions:
1 Zr 0.000 0.000 0.000
2 Zr 0.000 0.500 0.250
3 Zr 0.500 0.000 0.750
4 Zr 0.500 0.500 0.500
5 Rh 0.000 0.000 0.500
6 Rh 0.000 0.500 0.750
7 Rh 0.500 0.000 0.250
8 Rh 0.500 0.500 0.000
9 F 0.205 0.250 0.125
10 F 0.250 0.705 0.375
11 F 0.250 0.795 0.875
12 F 0.295 0.250 0.625
13 F 0.705 0.750 0.625
14 F 0.750 0.205 0.875
15 F 0.750 0.295 0.375
16 F 0.795 0.750 0.125

Most stable: #iv. Least stable: #i.